An optimized crystal structure of Mn2PbAuO. Source: the Alexandria database, functional GGA+U.

a = 4.165 Å, b = 4.165 Å, c = 5.771 Å
α = 90.00°, β = 90.00°, γ = 90.00°
Positions (direct):
Mn  0.000  0.500  0.000
Mn  0.500  0.000  0.000
Pb  0.000  0.000  0.500
Au  0.500  0.500  0.500
O  0.500  0.500  0.000

Values from the calculation:
Space-group type   P4/mmm
Final energy   -5.62 eV/atom
Density of states at the Fermi level   1.9 states/eV per cell